Here is a relaxed K5PuTe4 crystal from Alexandria. Energies are from GGA-PBE.

a b c (Å): 5.0605 9.0162 19.0669
angles (deg): 90.00 90.00 90.00
Space group Immm (No. 71)
Inequivalent atoms, fractional coordinates:
1 K 0.0000 0.0000 0.0000
2 K 0.0000 0.2492 0.3256
3 Pu 0.0000 0.5000 0.0000
4 Te 0.0000 0.2273 0.5000
5 Te 0.0000 0.5000 0.1761

## Properties
For the total moment, the calculation gives 0.5000 μB/atom. The uncorrected formation energy comes out at -91.66 kJ per mole of atoms. For the electronic total energy, the calculation gives -4.189 eV per atom.